1.
Below is crystalline CsTlInBr4 at its relaxed geometry, with properties calculated at the PBE level.

Unit cell a=5.6539 b=5.6539 c=9.7430 alpha=106.87 beta=106.87 gamma=90.00
With the nearest neighbours (Å) after each atom.
Element x y z (fractional)
1 Br 0.1745 0.1745 0.3490  1 Tl 3.12, 1 In 3.16
2 Br 0.4998 0.9998 0.9996  2 In 2.83
3 Br 0.8380 0.8380 0.6759  1 In 2.82
4 Br 0.9998 0.4998 0.9996  2 In 2.83
5 Cs 0.6412 0.6412 0.2824  5 Br 3.50-3.78
6 In 0.9968 0.9968 0.9935  6 Br 2.82-3.16
7 Tl 0.3500 0.3500 0.7000  1 Br 3.12

For the density of states at the Fermi level, the calculation gives 0.319 states/eV/atom. Its volume is 40.6 Å³ per atom. For the energy relative to the elements, uncorrected, the calculation gives -7.41 eV per formula unit.



2.
Below is crystalline PmPu3Hg12 at its relaxed geometry, with properties calculated at the PBE level.

Unit cell a=4.7212 b=4.6535 c=18.9040 alpha=90.00 beta=90.00 gamma=90.00
With the nearest neighbours (Å) after each atom.
Element x y z (fractional)
1 Hg 0.5000 0.5000 0.0000  8 Hg 3.30-3.33, 4 Pm 3.31
2 Hg 0.5000 0.5000 0.5000  4 Pu 3.31, 8 Hg 3.32-3.35
3 Hg 0.0000 0.5000 0.1243  2 Pm 3.31, 8 Hg 3.31-3.33, 2 Pu 3.32
4 Hg 0.5000 0.0000 0.8759  8 Hg 3.30-3.31, 2 Pm 3.33, 2 Pu 3.35
5 Hg 0.5000 0.5000 0.7524  8 Hg 3.30-3.37, 4 Pu 3.31
6 Hg 0.0000 0.5000 0.8757  2 Pm 3.31, 8 Hg 3.31-3.33, 2 Pu 3.32
7 Hg 0.0000 0.5000 0.3746  4 Pu 3.31-3.32, 8 Hg 3.31-3.37
8 Hg 0.5000 0.0000 0.1241  8 Hg 3.30-3.31, 2 Pm 3.33, 2 Pu 3.35
9 Hg 0.5000 0.5000 0.2476  8 Hg 3.30-3.37, 4 Pu 3.31
10 Hg 0.5000 0.0000 0.3746  8 Hg 3.31-3.34, 4 Pu 3.34-3.35
11 Hg 0.5000 0.0000 0.6254  8 Hg 3.31-3.34, 4 Pu 3.34-3.35
12 Hg 0.0000 0.5000 0.6254  4 Pu 3.31-3.32, 8 Hg 3.31-3.37
13 Pm 0.0000 0.0000 0.0000  12 Hg 3.31-3.33
14 Pu 0.0000 0.0000 0.7501  12 Hg 3.31-3.35
15 Pu 0.0000 0.0000 0.2499  12 Hg 3.31-3.35
16 Pu 0.0000 0.0000 0.5000  12 Hg 3.31-3.35

For the density of states at the Fermi level, the calculation gives 3.172 states/eV/atom. Its volume is 26.0 Å³ per atom. The energy of formation is -0.144 eV/atom.



3.
Below is crystalline CoPHPd2 at its relaxed geometry, with properties calculated at the PBE level.

Unit cell a=4.6998 b=2.9731 c=4.6998 alpha=90.00 beta=90.00 gamma=90.00
With the nearest neighbours (Å) after each atom.
Element x y z (fractional)
1 P 0.0000 0.0000 0.0000  2 H 1.49
2 Pd 0.5000 0.0000 0.0000  2 P 2.35
3 Pd 0.0000 0.0000 0.5000  2 P 2.35
4 H 0.0000 0.5000 0.0000  2 P 1.49
5 Co 0.5000 0.5000 0.5000  8 Pd 2.78, 2 Co 2.97

For the density of states at the Fermi level, the calculation gives 1.022 states/eV/atom. The total energy comes out at -4.9903 eV/atom. Its volume is 13.1 Å³ per atom.